The following is a PBE calculation of a geometry-optimized Tb8Sm2Tl structure, from Alexandria via LeMat-Bulk.

Summary:
Space-group type ... Immm (71)
Relative energy among the computed polymorphs ... 0.0597 eV/atom
Theoretical density ... 8.2 g/cm3
E_form ... 0.02 eV per atom

Cell lengths 5.464, 7.608, 9.817 Å; angles 112.80, 106.16, 90.00 degrees
Fractional positions:
Tb  0.363  0.133  0.726
Sm  0.193  0.693  0.386
Tb  0.000  0.260  0.000
Tb  0.637  0.407  0.274
Tb  0.363  0.593  0.726
Sm  0.807  0.307  0.614
Tb  0.000  0.740  0.000
Tl  0.500  0.000  0.000
Tb  0.820  0.820  0.640
Tb  0.637  0.867  0.274
Tb  0.180  0.180  0.360